No. 1
Computed, not measured: a geometry-optimized Sn2HgBiN structure at the PBE-GGA level of DFT.

Cell: 5.951 5.686 5.951 Å, 90.00 90.00 90.00°
Positions (direct):
N 0.500 0.500 0.500
Bi 0.000 0.000 0.000
Sn 0.000 0.000 0.500
Sn 0.500 0.000 0.000
Hg 0.000 0.500 0.000

## Properties
theoretical density	5.45	g cm⁻³
raw total energy	-2.312	eV per atom
raw formation energy	1.79	eV/atom
space-group type	P4/mmm (123)
M_tot	0.000	Bohr magnetons per cell
N(E_F)	6.642	states/eV/f.u.



No. 2
Computed, not measured: a geometry-optimized Sr2HgBiN structure at the PBE-GGA level of DFT.

Cell: 5.367 5.367 4.599 Å, 90.00 90.00 90.00°
Positions (direct):
Sr 0.000 0.500 0.000
Sr 0.500 0.000 0.000
N 0.000 0.000 0.000
Bi 0.500 0.500 0.500
Hg 0.000 0.000 0.500

## Properties
theoretical density	7.51	g cm⁻³
raw total energy	-3.634	eV per atom
raw formation energy	-0.46	eV/atom
space-group type	P4/mmm (123)
M_tot	0.000	Bohr magnetons per cell
N(E_F)	1.390	states/eV/f.u.



Which of these has the lowest theoretical density? Sn2HgBiN



Which of these has the highest raw formation energy? Sn2HgBiN



Which of these has the highest theoretical density? Sr2HgBiN